(1)
! PBE Cr2FeSi, relaxed; values from VASP
! D(E_F): 3.93 states/eV per cell
! formation energy (no corrections): -132 meV per atom
! uncorrected energy: -33.66 eV/cell
! space group: No. 47
! magnetic moment: 0.00 μB/f.u.
&SYSTEM
  ibrav = 0, nat = 4, ntyp = 3
/
ATOMIC_SPECIES
Cr 52.00 Cr.upf
Fe 55.84 Fe.upf
Si 28.09 Si.upf
CELL_PARAMETERS angstrom
2.549 0.000 0.000
0.000 3.762 0.000
0.000 0.000 4.709
ATOMIC_POSITIONS crystal
Cr 0.000 0.000 0.248
Cr 0.000 0.000 0.752
Fe 0.500 0.500 0.500
Si 0.500 0.500 0.000

=====

(2)
! PBE Cr2Fe5SiTc2, relaxed; values from VASP
! D(E_F): 20.38 states/eV per cell
! formation energy (no corrections): 134 meV per atom
! uncorrected energy: -172.76 eV/cell
! space group: No. 127
! magnetic moment: 4.02 μB/f.u.
&SYSTEM
  ibrav = 0, nat = 20, ntyp = 4
/
ATOMIC_SPECIES
Cr 52.00 Cr.upf
Fe 55.84 Fe.upf
Si 28.09 Si.upf
Tc 98.00 Tc.upf
CELL_PARAMETERS angstrom
8.052 0.000 0.000
0.000 8.052 0.000
0.000 0.000 3.750
ATOMIC_POSITIONS crystal
Cr 0.130 0.370 0.000
Cr 0.370 0.870 0.000
Cr 0.630 0.130 0.000
Cr 0.870 0.630 0.000
Fe 0.000 0.500 0.500
Fe 0.069 0.198 0.500
Fe 0.198 0.931 0.500
Fe 0.302 0.431 0.500
Fe 0.431 0.698 0.500
Fe 0.500 0.000 0.500
Fe 0.569 0.302 0.500
Fe 0.698 0.569 0.500
Fe 0.802 0.069 0.500
Fe 0.931 0.802 0.500
Si 0.000 0.000 0.000
Si 0.500 0.500 0.000
Tc 0.165 0.665 0.000
Tc 0.335 0.165 0.000
Tc 0.665 0.835 0.000
Tc 0.835 0.335 0.000